VASP calculation (PBE) on an optimized crystal structure of MnZn3Cu.

Computed properties:
The formation energy comes out at 0.52 eV/atom. As for the crystal system: cubic. The volume comes out at 18.58 A^3/atom. For the offset from the most stable computed form, the calculation gives 0.096 eV per atom. Its spin magnetization is 0.869 μB per atom.

a = 4.5287 Å, b = 4.5287 Å, c = 4.5287 Å
α = 90.00°, β = 90.00°, γ = 90.00°
Fractional coordinates of all 5 atoms:
1 Mn 0.0000 0.0000 0.0000
2 Zn 0.0000 0.5000 0.5000
3 Zn 0.5000 0.0000 0.5000
4 Zn 0.5000 0.5000 0.0000
5 Cu 0.5000 0.5000 0.5000

VASP calculation (PBE) on an optimized crystal structure of Mn3ZnCu.

Computed properties:
The formation energy comes out at 0.93 eV/atom. As for the crystal system: cubic. The volume comes out at 18.83 A^3/atom. For the offset from the most stable computed form, the calculation gives 0.000 eV per atom. Its spin magnetization is 2.364 μB per atom.

a = 4.5490 Å, b = 4.5490 Å, c = 4.5490 Å
α = 90.00°, β = 90.00°, γ = 90.00°
Fractional coordinates of all 5 atoms:
1 Mn 0.0000 0.0000 0.5000
2 Mn 0.0000 0.5000 0.0000
3 Mn 0.5000 0.0000 0.0000
4 Zn 0.5000 0.5000 0.5000
5 Cu 0.0000 0.0000 0.0000

VASP calculation (PBE) on an optimized crystal structure of Mn2ZnCu.

Computed properties:
The formation energy comes out at 0.14 eV/atom. As for the crystal system: tetragonal. The volume comes out at 13.46 A^3/atom. Its spin magnetization is 1.702 μB per atom.

a = 4.5500 Å, b = 4.5500 Å, c = 4.5500 Å
α = 130.08°, β = 130.08°, γ = 73.27°
Fractional coordinates of all 4 atoms:
1 Mn 0.2500 0.7500 0.5000
2 Mn 0.7500 0.2500 0.5000
3 Zn 0.0000 0.0000 0.0000
4 Cu 0.5000 0.5000 0.0000

VASP calculation (PBE) on an optimized crystal structure of MnZnCu6.

Computed properties:
The formation energy comes out at 0.02 eV/atom. As for the crystal system: hexagonal. The volume comes out at 12.57 A^3/atom. For the offset from the most stable computed form, the calculation gives 0.020 eV per atom. Its spin magnetization is 0.571 μB per atom.

a = 5.2196 Å, b = 5.2196 Å, c = 4.2626 Å
α = 90.00°, β = 90.00°, γ = 120.00°
Fractional coordinates of all 8 atoms:
1 Mn 0.0000 0.0000 0.0000
2 Zn 0.3333 0.6667 0.5000
3 Cu 0.3374 0.1687 0.5000
4 Cu 0.5014 0.0028 0.0000
5 Cu 0.5014 0.4986 0.0000
6 Cu 0.8313 0.1687 0.5000
7 Cu 0.8313 0.6626 0.5000
8 Cu 0.9972 0.4986 0.0000

VASP calculation (PBE) on an optimized crystal structure of MnZn2Cu.

Computed properties:
The formation energy comes out at 0.02 eV/atom. As for the crystal system: tetragonal. The volume comes out at 13.57 A^3/atom. Its spin magnetization is 0.757 μB per atom.

a = 3.7806 Å, b = 3.7806 Å, c = 3.7974 Å
α = 90.00°, β = 90.00°, γ = 90.00°
Fractional coordinates of all 4 atoms:
1 Mn 0.0000 0.0000 0.0000
2 Zn 0.0000 0.5000 0.5000
3 Zn 0.5000 0.0000 0.5000
4 Cu 0.5000 0.5000 0.0000

VASP calculation (PBE) on an optimized crystal structure of Mn2ZnCu.

Computed properties:
The formation energy comes out at 0.54 eV/atom. As for the crystal system: tetragonal. The volume comes out at 14.95 A^3/atom. Its spin magnetization is 1.803 μB per atom.

a = 5.4738 Å, b = 5.4738 Å, c = 5.4738 Å
α = 102.50°, β = 102.50°, γ = 124.55°
Fractional coordinates of all 8 atoms:
1 Mn 0.1121 0.6250 0.9871
2 Mn 0.3750 0.3621 0.4871
3 Mn 0.6379 0.1250 0.0129
4 Mn 0.8750 0.8879 0.5129
5 Zn 0.2500 0.7500 0.5000
6 Zn 0.5000 0.5000 0.0000
7 Cu 0.0000 0.0000 0.0000
8 Cu 0.7500 0.2500 0.5000

VASP calculation (PBE) on an optimized crystal structure of Zr2Mn2Cu.

Computed properties:
The formation energy comes out at 0.20 eV/atom. As for the crystal system: tetragonal. The volume comes out at 16.62 A^3/atom. For the offset from the most stable computed form, the calculation gives 0.185 eV per atom. Its spin magnetization is 0.000 μB per atom.

a = 8.7167 Å, b = 8.7167 Å, c = 8.7167 Å
α = 159.25°, β = 159.25°, γ = 29.51°
Fractional coordinates of all 5 atoms:
1 Zr 0.1080 0.1080 0.0000
2 Zr 0.8920 0.8920 0.0000
3 Mn 0.2500 0.7500 0.5000
4 Mn 0.7500 0.2500 0.5000
5 Cu 0.5000 0.5000 0.0000

VASP calculation (PBE) on an optimized crystal structure of Zr2Mn2Cu.

Computed properties:
The formation energy comes out at 0.39 eV/atom. As for the crystal system: tetragonal. The volume comes out at 18.06 A^3/atom. For the offset from the most stable computed form, the calculation gives 0.372 eV per atom. Its spin magnetization is 0.897 μB per atom.

a = 7.4284 Å, b = 7.4284 Å, c = 3.2732 Å
α = 90.00°, β = 90.00°, γ = 90.00°
Fractional coordinates of all 10 atoms:
1 Zr 0.1597 0.3403 0.0000
2 Zr 0.3403 0.8403 0.0000
3 Zr 0.6597 0.1597 0.0000
4 Zr 0.8403 0.6597 0.0000
5 Mn 0.1331 0.6331 0.5000
6 Mn 0.3669 0.1331 0.5000
7 Mn 0.6331 0.8669 0.5000
8 Mn 0.8669 0.3669 0.5000
9 Cu 0.0000 0.0000 0.0000
10 Cu 0.5000 0.5000 0.0000

VASP calculation (PBE) on an optimized crystal structure of ZrMn3Cu.

Computed properties:
The formation energy comes out at 0.78 eV/atom. As for the crystal system: cubic. The volume comes out at 18.16 A^3/atom. For the offset from the most stable computed form, the calculation gives 0.000 eV per atom. Its spin magnetization is 1.983 μB per atom.

a = 4.4946 Å, b = 4.4946 Å, c = 4.4946 Å
α = 90.00°, β = 90.00°, γ = 90.00°
Fractional coordinates of all 5 atoms:
1 Zr 0.0000 0.0000 0.0000
2 Mn 0.0000 0.5000 0.5000
3 Mn 0.5000 0.0000 0.5000
4 Mn 0.5000 0.5000 0.0000
5 Cu 0.5000 0.5000 0.5000

VASP calculation (PBE) on an optimized crystal structure of Zr2Mn2Cu.

Computed properties:
The formation energy comes out at 0.02 eV/atom. As for the crystal system: tetragonal. The volume comes out at 16.21 A^3/atom. For the offset from the most stable computed form, the calculation gives 0.000 eV per atom. Its spin magnetization is 0.184 μB per atom.

a = 6.4059 Å, b = 6.4059 Å, c = 3.9507 Å
α = 90.00°, β = 90.00°, γ = 90.00°
Fractional coordinates of all 10 atoms:
1 Zr 0.1842 0.3158 0.0000
2 Zr 0.3158 0.8158 0.0000
3 Zr 0.6842 0.1842 0.0000
4 Zr 0.8158 0.6842 0.0000
5 Mn 0.1125 0.6125 0.5000
6 Mn 0.3875 0.1125 0.5000
7 Mn 0.6125 0.8875 0.5000
8 Mn 0.8875 0.3875 0.5000
9 Cu 0.0000 0.0000 0.5000
10 Cu 0.5000 0.5000 0.5000

VASP calculation (PBE) on an optimized crystal structure of ZrMn4Cu.

Computed properties:
The formation energy comes out at 0.05 eV/atom. As for the crystal system: cubic. The volume comes out at 12.99 A^3/atom. Its spin magnetization is 0.000 μB per atom.

a = 4.7951 Å, b = 4.7951 Å, c = 4.7951 Å
α = 60.00°, β = 60.00°, γ = 60.00°
Fractional coordinates of all 6 atoms:
1 Zr 0.0000 0.0000 0.0000
2 Mn 0.3769 0.3769 0.3769
3 Mn 0.3769 0.3769 0.8694
4 Mn 0.3769 0.8694 0.3769
5 Mn 0.8694 0.3769 0.3769
6 Cu 0.7500 0.7500 0.7500

VASP calculation (PBE) on an optimized crystal structure of ZrMn3Cu.

Computed properties:
The formation energy comes out at 1.57 eV/atom. As for the crystal system: cubic. The volume comes out at 21.55 A^3/atom. For the offset from the most stable computed form, the calculation gives 0.794 eV per atom. Its spin magnetization is 1.880 μB per atom.

a = 4.7588 Å, b = 4.7588 Å, c = 4.7588 Å
α = 90.00°, β = 90.00°, γ = 90.00°
Fractional coordinates of all 5 atoms:
1 Zr 0.0000 0.0000 0.0000
2 Mn 0.0000 0.0000 0.5000
3 Mn 0.0000 0.5000 0.0000
4 Mn 0.5000 0.0000 0.0000
5 Cu 0.5000 0.5000 0.5000

VASP calculation (PBE) on an optimized crystal structure of Zr4MnCu3.

Computed properties:
The formation energy comes out at -0.11 eV/atom. As for the crystal system: tetragonal. The volume comes out at 17.27 A^3/atom. Its spin magnetization is 0.070 μB per atom.

a = 3.2214 Å, b = 3.2214 Å, c = 13.3171 Å
α = 90.00°, β = 90.00°, γ = 90.00°
Fractional coordinates of all 8 atoms:
1 Zr 0.0000 0.0000 0.1162
2 Zr 0.0000 0.0000 0.3719
3 Zr 0.0000 0.0000 0.6281
4 Zr 0.0000 0.0000 0.8838
5 Mn 0.5000 0.5000 0.0000
6 Cu 0.5000 0.5000 0.2442
7 Cu 0.5000 0.5000 0.5000
8 Cu 0.5000 0.5000 0.7558

VASP calculation (PBE) on an optimized crystal structure of Zr6MnCu.

Computed properties:
The formation energy comes out at -0.04 eV/atom. As for the crystal system: tetragonal. The volume comes out at 20.00 A^3/atom. Its spin magnetization is 0.000 μB per atom.

a = 8.2634 Å, b = 8.2634 Å, c = 8.2634 Å
α = 147.76°, β = 147.76°, γ = 46.23°
Fractional coordinates of all 8 atoms:
1 Zr 0.1061 0.6061 0.5000
2 Zr 0.2486 0.2486 0.0000
3 Zr 0.3939 0.8939 0.5000
4 Zr 0.6061 0.1061 0.5000
5 Zr 0.7514 0.7514 0.0000
6 Zr 0.8939 0.3939 0.5000
7 Mn 0.0000 0.0000 0.0000
8 Cu 0.5000 0.5000 0.0000

VASP calculation (PBE) on an optimized crystal structure of CuMo2.

Computed properties:
The formation energy comes out at 0.32 eV/atom. As for the crystal system: tetragonal. The volume comes out at 14.72 A^3/atom. For the offset from the most stable computed form, the calculation gives 0.094 eV per atom. Its spin magnetization is 0.000 μB per atom.

a = 4.8971 Å, b = 4.8971 Å, c = 4.8971 Å
α = 104.72°, β = 104.72°, γ = 119.45°
Fractional coordinates of all 6 atoms:
1 Cu 0.2500 0.2500 0.0000
2 Cu 0.7500 0.7500 0.0000
3 Mo 0.1465 0.6465 0.7929
4 Mo 0.3535 0.1465 0.5000
5 Mo 0.6465 0.8535 0.5000
6 Mo 0.8535 0.3535 0.2071

VASP calculation (PBE) on an optimized crystal structure of CuMo3.

Computed properties:
The formation energy comes out at 0.18 eV/atom. As for the crystal system: cubic. The volume comes out at 14.89 A^3/atom. Its spin magnetization is 0.000 μB per atom.

a = 3.9051 Å, b = 3.9051 Å, c = 3.9051 Å
α = 90.00°, β = 90.00°, γ = 90.00°
Fractional coordinates of all 4 atoms:
1 Cu 0.0000 0.0000 0.0000
2 Mo 0.0000 0.5000 0.5000
3 Mo 0.5000 0.0000 0.5000
4 Mo 0.5000 0.5000 0.0000

VASP calculation (PBE) on an optimized crystal structure of CuMo.

Computed properties:
The formation energy comes out at 1.59 eV/atom. As for the crystal system: hexagonal. The volume comes out at 18.60 A^3/atom. Its spin magnetization is 0.000 μB per atom.

a = 4.1652 Å, b = 4.1652 Å, c = 4.9512 Å
α = 90.00°, β = 90.00°, γ = 120.00°
Fractional coordinates of all 4 atoms:
1 Cu 0.3333 0.6667 0.2500
2 Cu 0.6667 0.3333 0.7500
3 Mo 0.3333 0.6667 0.7500
4 Mo 0.6667 0.3333 0.2500

VASP calculation (PBE) on an optimized crystal structure of CuMo.

Computed properties:
The formation energy comes out at 0.88 eV/atom. As for the crystal system: tetragonal. The volume comes out at 15.50 A^3/atom. Its spin magnetization is 0.000 μB per atom.

a = 4.9316 Å, b = 4.9316 Å, c = 5.0992 Å
α = 90.00°, β = 90.00°, γ = 90.00°
Fractional coordinates of all 8 atoms:
1 Cu 0.1726 0.1726 0.0000
2 Cu 0.3274 0.6726 0.5000
3 Cu 0.6726 0.3274 0.5000
4 Cu 0.8274 0.8274 0.0000
5 Mo 0.1720 0.1720 0.5000
6 Mo 0.3280 0.6720 0.0000
7 Mo 0.6720 0.3280 0.0000
8 Mo 0.8280 0.8280 0.5000

VASP calculation (PBE) on an optimized crystal structure of CuMo3.

Computed properties:
The formation energy comes out at 0.26 eV/atom. As for the crystal system: tetragonal. The volume comes out at 15.01 A^3/atom. Its spin magnetization is 0.000 μB per atom.

a = 4.6710 Å, b = 4.6710 Å, c = 4.6710 Å
α = 128.92°, β = 128.92°, γ = 75.13°
Fractional coordinates of all 4 atoms:
1 Cu 0.0000 0.0000 0.0000
2 Mo 0.2500 0.7500 0.5000
3 Mo 0.5000 0.5000 0.0000
4 Mo 0.7500 0.2500 0.5000

VASP calculation (PBE) on an optimized crystal structure of CuMo.

Computed properties:
The formation energy comes out at 0.27 eV/atom. As for the crystal system: monoclinic. The volume comes out at 14.04 A^3/atom. Its spin magnetization is 0.000 μB per atom.

a = 5.2588 Å, b = 5.2588 Å, c = 6.6032 Å
α = 105.16°, β = 105.16°, γ = 28.63°
Fractional coordinates of all 6 atoms:
1 Cu 0.0000 0.0000 0.0000
2 Cu 0.0704 0.0704 0.5851
3 Cu 0.6586 0.6586 0.3164
4 Mo 0.3503 0.3503 0.6562
5 Mo 0.3839 0.3839 0.2760
6 Mo 0.7148 0.7148 0.9269